(1)
The following is a GGA-PBE calculation of Pm3InAg8 after structural relaxation, from Alexandria via LeMat-Bulk.

Cell: 9.933 9.933 9.933 Å, 33.39 33.39 33.39°
Element x y z (fractional)
Pm1 0.000 0.000 0.000
Pm2 0.124 0.124 0.124
Pm3 0.614 0.614 0.614
In1 0.491 0.491 0.491
Ag1 0.057 0.057 0.562
Ag2 0.057 0.562 0.057
Ag3 0.058 0.558 0.558
Ag4 0.308 0.308 0.308
Ag5 0.558 0.058 0.558
Ag6 0.558 0.558 0.058
Ag7 0.562 0.057 0.057
Ag8 0.809 0.809 0.809

DOS(E_F)	8.12	states/eV per cell
magnetization	0.0	μB per formula unit
calculated total energy	-3.5075	eV per atom


(2)
The following is a GGA-PBE calculation of MnAsAu2 after structural relaxation, from Alexandria via LeMat-Bulk.

Cell: 5.834 5.834 2.936 Å, 104.36 104.36 123.32°
Element x y z (fractional)
Mn1 0.000 0.000 0.000
As1 0.500 0.500 0.000
Au1 0.000 0.500 0.500
Au2 0.500 0.000 0.500

DOS(E_F)	1.99	states/eV per cell
magnetization	3.9	μB per formula unit
calculated total energy	-4.9600	eV per atom


(3)
The following is a GGA-PBE calculation of KHfSi2P after structural relaxation, from Alexandria via LeMat-Bulk.

Cell: 5.059 5.059 6.920 Å, 90.00 90.00 90.00°
Element x y z (fractional)
K1 0.000 0.000 0.000
Hf1 0.000 0.000 0.500
Si1 0.000 0.500 0.500
Si2 0.500 0.000 0.500
P1 0.500 0.500 0.000

E_form (uncorrected)	1240	meV/atom
DOS(E_F)	4.34	states/eV per cell
magnetization	2.2	μB per formula unit


(4)
The following is a GGA-PBE calculation of PuGa2Ag after structural relaxation, from Alexandria via LeMat-Bulk.

Cell: 3.219 3.219 7.552 Å, 90.00 90.00 90.00°
Element x y z (fractional)
Pu1 0.000 0.000 0.000
Ga1 0.500 0.500 0.278
Ga2 0.500 0.500 0.722
Ag1 0.000 0.000 0.500

E above lowest polymorph	102	meV per atom
DOS(E_F)	5.42	states/eV per cell
magnetization	5.6	μB per formula unit